LiCr2F2 (PBE+U, relaxed); excess energy over the best structure of this formula in the dataset = 1.05 eV per formula unit; crystal system = tetragonal; DOS(E_F) = 1.12 states/eV/cell; raw total energy = -25.9 eV for the cell shown
1.0
-2.253 1.954 -3.216
-2.078 -3.771 -0.836
-6.099 0.464 1.564
Li Cr F
1 2 2
Cartesian
0.000 0.000 0.000 Li
-5.259 0.755 -1.839 Cr
-5.171 -2.108 -0.649 Cr
-4.828 0.020 0.403 F
-5.602 -1.373 -2.891 F